# 1
DFT (PBE-GGA) results for crystalline Y2NiAu at its relaxed geometry.

The structure in extended XYZ format:
```
4
Lattice="-7.284 1.086 2.732 1.751 -3.629 -2.884 -1.224 -2.416 2.291" Properties=species:S:1:pos:R:3 pbc="T T T"
Y -4.254 -0.665 2.511
Y 0.000 0.000 0.000
Au 0.264 -3.023 -0.297
Ni -2.766 -1.272 -0.076
```

Output
SG: No. 65



# 2
DFT (PBE-GGA) results for crystalline HfZn2Rh5 at its relaxed geometry.

The structure in extended XYZ format:
```
8
Lattice="3.910 0.000 -1.075 -0.295 3.899 -1.075 0.006 0.007 7.672" Properties=species:S:1:pos:R:3 pbc="T T T"
Rh 0.331 2.465 1.203
Rh 3.290 1.440 4.320
Rh 1.807 1.949 -1.075
Rh 2.433 0.516 1.203
Rh 1.188 3.390 4.320
Hf 0.000 0.000 0.000
Zn 2.714 2.928 2.225
Zn 0.906 0.978 3.297
```

Output
SG: No. 139



Summary of energy in eV per atom
-6.076 -6.715
(order as listed above)
Summary of ΔH_f (0 K) in eV/atom
-0.579 -0.557
(order as listed above)